VASP calculation (PBE+U) on a geometry-optimized ScCoO3 structure.

Final energy   -0.241 hartree per atom
Crystal system   cubic

Unit cell a=4.003 b=4.003 c=4.003 alpha=90.00 beta=90.00 gamma=90.00
Sites, in units of the cell vectors:
Sc: 0.000 0.000 0.000
Co: 0.500 0.500 0.500
O: 0.000 0.000 0.500
O: 0.000 0.500 0.000
O: 0.500 0.000 0.000